{"formula": "TlCu2Ir", "functional": "GGA-PBE", "state": "optimized geometry", "formation_energy_ev_per_atom": 0.376, "total_energy_ev_per_atom": -4.479, "n_ef_per_ev_cell": 3.739, "de_polymorph_ev_per_atom": 0.1244, "cell": [[2.963, 0.000, 0.000], [0.000, 2.963, 0.000], [0.000, 0.000, 7.434]], "species": ["Tl", "Cu", "Cu", "Ir"], "fractional_positions": [[0.000, 0.000, 0.000], [0.500, 0.500, 0.293], [0.500, 0.500, 0.707], [0.000, 0.000, 0.500]]}